[1]
# LaReAu2 (PBE-GGA, relaxed)
data_LaReAu2
_chemical_formula_sum 'La4 Re4 Au8'
_space_group_name_H-M_alt 'F m -3 m'
_space_group_IT_number 225
_space_group_name_Hall '-F 4 2 3'
_cell_length_a 7.0010
_cell_length_b 7.0010
_cell_length_c 7.0010
_cell_angle_alpha 90.00
_cell_angle_beta 90.00
_cell_angle_gamma 90.00
loop_
_atom_site_label
_atom_site_fract_x
_atom_site_fract_y
_atom_site_fract_z
_atom_site_occupancy
La1 0.0000 0.0000 0.0000 1
Re1 0.0000 0.0000 0.5000 1
Au1 0.2500 0.2500 0.2500 1
# Density = 13.918 g/cm³
# VASP energy = -91.1 eV for the cell shown
# Size of the total moment = 1.7 μB per formula unit
# DFT formation energy = 287 meV/atom

=====

[2]
# SrHf3Cl (PBE-GGA, relaxed)
data_SrHf3Cl
_chemical_formula_sum 'Sr1 Hf3 Cl1'
_space_group_name_H-M_alt 'P m -3 m'
_space_group_IT_number 221
_space_group_name_Hall '-P 4 2 3'
_cell_length_a 4.9728
_cell_length_b 4.9728
_cell_length_c 4.9728
_cell_angle_alpha 90.00
_cell_angle_beta 90.00
_cell_angle_gamma 90.00
loop_
_atom_site_label
_atom_site_fract_x
_atom_site_fract_y
_atom_site_fract_z
_atom_site_occupancy
Sr1 0.0000 0.0000 0.0000 1
Hf1 0.0000 0.5000 0.5000 1
Cl1 0.5000 0.5000 0.5000 1
# Density = 8.893 g/cm³
# VASP energy = -32.1 eV for the cell shown
# Size of the total moment = 0.0 μB per formula unit

=====

[3]
# Pm5Ag6 (PBE-GGA, relaxed)
data_Pm5Ag6
_chemical_formula_sum 'Pm10 Ag12'
_space_group_name_H-M_alt 'I m m m'
_space_group_IT_number 71
_space_group_name_Hall '-I 2 2'
_cell_length_a 5.1437
_cell_length_b 7.5926
_cell_length_c 15.5704
_cell_angle_alpha 90.00
_cell_angle_beta 90.00
_cell_angle_gamma 90.00
loop_
_atom_site_label
_atom_site_fract_x
_atom_site_fract_y
_atom_site_fract_z
_atom_site_occupancy
Pm1 0.0000 0.0000 0.0000 1
Pm2 0.0000 0.0000 0.3533 1
Pm3 0.0000 0.5000 0.3276 1
Ag1 0.0000 0.2327 0.1775 1
Ag2 0.0000 0.2805 0.5000 1
# Density = 7.494 g/cm³
# VASP energy = -84.6 eV for the cell shown
# Size of the total moment = 0.0 μB per formula unit
# DFT formation energy = -131 meV/atom

=====

[4]
# RbTcP2O8 (PBE-GGA, relaxed)
data_RbTcP2O8
_chemical_formula_sum 'Rb2 Tc2 P4 O16'
_space_group_name_H-M_alt 'C 1 2/m 1'
_space_group_IT_number 12
_cell_length_a 8.4488
_cell_length_b 5.2554
_cell_length_c 8.5431
_cell_angle_alpha 90.00
_cell_angle_beta 93.93
_cell_angle_gamma 90.00
loop_
_space_group_symop_operation_xyz
'x,y,z'
'-x,-y,-z'
'-x,y,-z'
'x,-y,z'
'x+1/2,y+1/2,z'
'-x+1/2,-y+1/2,-z'
'-x+1/2,y+1/2,-z'
'x+1/2,-y+1/2,z'
loop_
_atom_site_label
_atom_site_fract_x
_atom_site_fract_y
_atom_site_fract_z
_atom_site_occupancy
Rb1 0.0000 0.0000 0.0000 1
Tc1 0.0000 0.0000 0.5000 1
P1 0.1369 0.5000 0.3083 1
O1 0.0308 0.2616 0.3398 1
O2 0.1864 0.5000 0.1440 1
O3 0.2268 0.0000 0.5577 1
# Density = 3.277 g/cm³
# VASP energy = -170.4 eV for the cell shown
# Size of the total moment = 2.0 μB per formula unit

=====

[5]
# Li2CuW (PBE-GGA, relaxed)
data_Li2CuW
_chemical_formula_sum 'Li6 Cu3 W3'
_space_group_name_H-M_alt 'R -3 m'
_space_group_IT_number 166
_space_group_name_Hall '-R 3 2"'
_cell_length_a 2.6867
_cell_length_b 2.6867
_cell_length_c 28.0910
_cell_angle_alpha 90.00
_cell_angle_beta 90.00
_cell_angle_gamma 120.00
loop_
_atom_site_label
_atom_site_fract_x
_atom_site_fract_y
_atom_site_fract_z
_atom_site_occupancy
Li1 0.0000 0.0000 0.2448 1
Cu1 0.0000 0.0000 0.5000 1
W1 0.0000 0.0000 0.0000 1
# Density = 7.412 g/cm³
# VASP energy = -59.0 eV for the cell shown
# Size of the total moment = 0.0 μB per formula unit
# DFT formation energy = 300 meV/atom

=====

[6]
# ErAl2GaCo2 (PBE-GGA, relaxed)
data_ErAl2GaCo2
_chemical_formula_sum 'Er1 Al2 Ga1 Co2'
_space_group_name_H-M_alt 'P 4/m m m'
_space_group_IT_number 123
_space_group_name_Hall '-P 4 2'
_cell_length_a 4.3386
_cell_length_b 4.3386
_cell_length_c 5.5184
_cell_angle_alpha 90.00
_cell_angle_beta 90.00
_cell_angle_gamma 90.00
loop_
_atom_site_label
_atom_site_fract_x
_atom_site_fract_y
_atom_site_fract_z
_atom_site_occupancy
Er1 0.0000 0.0000 0.0000 1
Al1 0.5000 0.5000 0.2489 1
Ga1 0.0000 0.0000 0.5000 1
Co1 0.0000 0.5000 0.5000 1
# Density = 6.535 g/cm³
# VASP energy = -30.4 eV for the cell shown
# Size of the total moment = 1.5 μB per formula unit
# DFT formation energy = -180 meV/atom

=====

[7]
# NpP2O8 (PBE-GGA, relaxed)
data_NpP2O8
_chemical_formula_sum 'Np2 P4 O16'
_space_group_name_H-M_alt 'C 1 2/m 1'
_space_group_IT_number 12
_cell_length_a 10.8779
_cell_length_b 6.3513
_cell_length_c 5.0470
_cell_angle_alpha 90.00
_cell_angle_beta 99.19
_cell_angle_gamma 90.00
loop_
_space_group_symop_operation_xyz
'x,y,z'
'-x,-y,-z'
'-x,y,-z'
'x,-y,z'
'x+1/2,y+1/2,z'
'-x+1/2,-y+1/2,-z'
'-x+1/2,y+1/2,-z'
'x+1/2,-y+1/2,z'
loop_
_atom_site_label
_atom_site_fract_x
_atom_site_fract_y
_atom_site_fract_z
_atom_site_occupancy
Np1 0.0000 0.0000 0.0000 1
P1 0.1861 0.0000 0.6613 1
O1 0.1157 0.1870 0.7927 1
O2 0.1327 0.0000 0.3510 1
O3 0.1769 0.5000 0.2825 1
# Density = 4.119 g/cm³
# VASP energy = -173.8 eV for the cell shown
# Size of the total moment = 1.0 μB per formula unit

=====

[8]
# Nd4Zn (PBE-GGA, relaxed)
data_Nd4Zn
_chemical_formula_sum 'Nd4 Zn1'
_space_group_name_H-M_alt 'P m -3 m'
_space_group_IT_number 221
_space_group_name_Hall '-P 4 2 3'
_cell_length_a 5.6599
_cell_length_b 5.6599
_cell_length_c 5.6599
_cell_angle_alpha 90.00
_cell_angle_beta 90.00
_cell_angle_gamma 90.00
loop_
_atom_site_label
_atom_site_fract_x
_atom_site_fract_y
_atom_site_fract_z
_atom_site_occupancy
Nd1 0.0000 0.0000 0.0000 1
Nd2 0.0000 0.5000 0.5000 1
Zn1 0.5000 0.5000 0.5000 1
# Density = 5.883 g/cm³
# VASP energy = -19.4 eV for the cell shown
# Size of the total moment = 0.0 μB per formula unit
# DFT formation energy = 187 meV/atom

=====

Look up the VASP energy of the seventh one.
-173.8 eV for the cell shown

=====

What did the third record say?
# Pm5Ag6 (PBE-GGA, relaxed)
data_Pm5Ag6
_chemical_formula_sum 'Pm10 Ag12'
_space_group_name_H-M_alt 'I m m m'
_space_group_IT_number 71
_space_group_name_Hall '-I 2 2'
_cell_length_a 5.1437
_cell_length_b 7.5926
_cell_length_c 15.5704
_cell_angle_alpha 90.00
_cell_angle_beta 90.00
_cell_angle_gamma 90.00
loop_
_atom_site_label
_atom_site_fract_x
_atom_site_fract_y
_atom_site_fract_z
_atom_site_occupancy
Pm1 0.0000 0.0000 0.0000 1
Pm2 0.0000 0.0000 0.3533 1
Pm3 0.0000 0.5000 0.3276 1
Ag1 0.0000 0.2327 0.1775 1
Ag2 0.0000 0.2805 0.5000 1
# Density = 7.494 g/cm³
# VASP energy = -84.6 eV for the cell shown
# Size of the total moment = 0.0 μB per formula unit
# DFT formation energy = -131 meV/atom